[1]
Density functional theory data (GGA-PBE) for a relaxed La2BeSb crystal.

Lattice parameters (Å, degrees): 3.9774 3.9774 6.9223 90.00 90.00 90.00
Space group P4/mmm (No. 123)
Symmetry-distinct sites (fractional):
La  0.0000  0.0000  0.2415 [2 per cell]
Be  0.5000  0.5000  0.0000 [1 per cell]
Sb  0.5000  0.5000  0.5000 [1 per cell]

Results
The total magnetic moment is 0.00 μB/cell. As for the uncorrected formation energy: -369 meV/atom. For the total energy, the calculation gives -19.18 eV/cell. The density of states at the Fermi level comes out at 2.71 states/eV/cell.


[2]
Density functional theory data (GGA-PBE) for a relaxed La2Be2Sb crystal.

Lattice parameters (Å, degrees): 7.1062 7.1062 4.5303 90.00 90.00 90.00
Space group P4/mbm (No. 127)
Symmetry-distinct sites (fractional):
La  0.1771  0.3229  0.0000 [4 per cell]
Be  0.1078  0.6078  0.5000 [4 per cell]
Sb  0.0000  0.0000  0.5000 [2 per cell]

Results
The total magnetic moment is 0.00 μB/cell. As for the uncorrected formation energy: -249 meV/atom. For the total energy, the calculation gives -45.35 eV/cell. The density of states at the Fermi level comes out at 11.59 states/eV/cell.


[3]
Density functional theory data (GGA-PBE) for a relaxed LaBe2SbSe crystal.

Lattice parameters (Å, degrees): 4.4772 4.4772 6.5681 90.00 90.00 90.00
Space group P4/mmm (No. 123)
Symmetry-distinct sites (fractional):
La  0.0000  0.0000  0.0000 [1 per cell]
Be  0.0000  0.5000  0.5000 [2 per cell]
Sb  0.0000  0.0000  0.5000 [1 per cell]
Se  0.5000  0.5000  0.0000 [1 per cell]

Results
The total magnetic moment is 0.00 μB/cell. As for the uncorrected formation energy: 107 meV/atom. For the total energy, the calculation gives -19.45 eV/cell. The density of states at the Fermi level comes out at 4.50 states/eV/cell.


[4]
Density functional theory data (GGA-PBE) for a relaxed LaBeSbTe2 crystal.

Lattice parameters (Å, degrees): 5.3149 5.3149 4.7853 90.00 90.00 90.00
Space group P4/mmm (No. 123)
Symmetry-distinct sites (fractional):
La  0.0000  0.0000  0.0000 [1 per cell]
Be  0.5000  0.5000  0.5000 [1 per cell]
Sb  0.5000  0.5000  0.0000 [1 per cell]
Te  0.0000  0.5000  0.5000 [2 per cell]

Results
The total magnetic moment is 0.00 μB/cell. As for the uncorrected formation energy: -355 meV/atom. For the total energy, the calculation gives -20.84 eV/cell. The density of states at the Fermi level comes out at 3.87 states/eV/cell.